Here is crystalline SrMn2Br2O2 at its relaxed geometry from Alexandria via LeMat-Bulk. Energies are from GGA+U.

Lattice parameters (Å, degrees): 3.478 6.590 9.135 44.69 79.03 90.01
Atoms (fractional coordinates):
Mn 0.241 0.673 0.519
Mn 0.759 0.327 0.481
Br 0.130 0.856 0.739
Br 0.870 0.144 0.261
Sr 0.000 0.000 0.000
O 0.650 0.370 0.700
O 0.350 0.630 0.300

Calculated values
**Fermi-level density of states**: 0.0 states/eV/cell
**Total energy**: -41.4 eV/cell
**V**: 20.25 Å³/atom
**SG**: C2/m, No. 12